# Zr2GaSb2

A relaxed structure of Zr2GaSb2 (GGA-PBE, Alexandria via LeMat-Bulk).

Cell: 7.648 7.648 3.950 Å, 90.00 90.00 90.00°
Fractional coordinates of all 10 atoms:
1 Zr 0.347 0.847 0.000
2 Zr 0.847 0.653 0.000
3 Zr 0.153 0.347 0.000
4 Zr 0.653 0.153 0.000
5 Sb 0.649 0.851 0.500
6 Sb 0.149 0.649 0.500
7 Sb 0.351 0.149 0.500
8 Sb 0.851 0.351 0.500
9 Ga 0.500 0.500 0.000
10 Ga 0.000 0.000 0.000

Computed properties:
Raw formation energy ... -0.506 eV/atom
Relative energy among the computed polymorphs ... 0.000 eV per formula unit